Entry 1:
## Rb2In6SnPb (PBE)

Data for a relaxed Rb2In6SnPb crystal.

Summary:
- N(E_F) (states/eV per cell) = 9.60
- symmetry = R-3m, No. 166
- E_tot (eV per atom) = -2.5844
- volume (Å³ per atom) = 37.690

abc: 15.114 15.114 15.114
angles: 29.77 29.77 29.77
Positions (direct):
Rb (0.103, 0.103, 0.103)
Rb (0.277, 0.277, 0.277)
Rb (0.723, 0.723, 0.723)
Rb (0.897, 0.897, 0.897)
In (0.069, 0.671, 0.671)
In (0.228, 0.228, 0.622)
In (0.228, 0.622, 0.228)
In (0.329, 0.329, 0.931)
In (0.329, 0.931, 0.329)
In (0.378, 0.772, 0.772)
In (0.622, 0.228, 0.228)
In (0.671, 0.069, 0.671)
In (0.671, 0.671, 0.069)
In (0.772, 0.378, 0.772)
In (0.772, 0.772, 0.378)
In (0.931, 0.329, 0.329)
Sn (0.000, 0.000, 0.000)
Sn (0.500, 0.500, 0.500)
Pb (0.424, 0.424, 0.424)
Pb (0.576, 0.576, 0.576)

=====

Entry 2:
## RbIn2SnPb (PBE)

Data for a relaxed RbIn2SnPb crystal.

Summary:
- N(E_F) (states/eV per cell) = 5.14
- symmetry = I-4m2, No. 119
- E_tot (eV per atom) = -2.9631
- volume (Å³ per atom) = 34.087

abc: 5.244 5.244 12.395
angles: 90.00 90.00 90.00
Positions (direct):
Rb (0.000, 0.000, 0.000)
Rb (0.500, 0.500, 0.500)
In (0.000, 0.000, 0.382)
In (0.000, 0.000, 0.618)
In (0.500, 0.500, 0.118)
In (0.500, 0.500, 0.882)
Sn (0.000, 0.500, 0.750)
Sn (0.500, 0.000, 0.250)
Pb (0.000, 0.500, 0.250)
Pb (0.500, 0.000, 0.750)

=====

Entry 3:
## RbIn4SnPb2 (PBE)

Data for a relaxed RbIn4SnPb2 crystal.

Summary:
- N(E_F) (states/eV per cell) = 8.03
- symmetry = R-3m, No. 166
- E_tot (eV per atom) = -2.8882
- volume (Å³ per atom) = 33.873

abc: 10.645 10.645 10.645
angles: 30.23 30.23 30.23
Positions (direct):
Rb (0.000, 0.000, 0.000)
In (0.126, 0.126, 0.126)
In (0.402, 0.402, 0.402)
In (0.598, 0.598, 0.598)
In (0.874, 0.874, 0.874)
Sn (0.500, 0.500, 0.500)
Pb (0.232, 0.232, 0.232)
Pb (0.768, 0.768, 0.768)

=====

Entry 4:
## RbIn2TcPb (PBE)

Data for a relaxed RbIn2TcPb crystal.

Summary:
- N(E_F) (states/eV per cell) = 0.90
- symmetry = P4/mmm, No. 123
- E_tot (eV per atom) = -4.0680
- volume (Å³ per atom) = 30.586

abc: 5.354 5.354 5.335
angles: 90.00 90.00 90.00
Positions (direct):
Rb (0.000, 0.000, 0.000)
In (0.000, 0.500, 0.500)
In (0.500, 0.000, 0.500)
Tc (0.500, 0.500, 0.500)
Pb (0.500, 0.500, 0.000)